(1)
{"formula": "Ce2HfP3", "functional": "PBE-GGA", "state": "relaxed", "cell": [[-1.983, 1.983, 8.325], [1.983, -1.983, 8.325], [1.983, 1.983, -8.325]], "species": ["Ce", "Ce", "Hf", "P", "P", "P"], "fractional_positions": [[0.166, 0.166, 0.000], [0.834, 0.834, 0.000], [0.500, 0.500, 0.000], [0.000, 0.000, 0.000], [0.341, 0.341, 0.000], [0.659, 0.659, 0.000]], "dos_at_fermi_per_ev_cell": 7.61, "magmom_total_mub_per_cell": 0.5, "formation_energy_mev_per_atom": -1362, "e_tot_ev_per_cell": -46.22}

=====

(2)
{"formula": "CeHf2P", "functional": "PBE-GGA", "state": "relaxed", "cell": [[1.707, 0.986, 9.374], [-1.707, 0.986, 9.374], [0.000, -1.971, 9.374]], "species": ["Ce", "Hf", "Hf", "P"], "fractional_positions": [[0.000, 0.000, 0.000], [0.111, 0.111, 0.111], [0.889, 0.889, 0.889], [0.500, 0.500, 0.500]], "dos_at_fermi_per_ev_cell": 6.29, "magmom_total_mub_per_cell": 0.9, "formation_energy_mev_per_atom": -250, "e_tot_ev_per_cell": -32.25}

=====

(3)
{"formula": "CeHf2P4", "functional": "PBE-GGA", "state": "relaxed", "cell": [[1.894, -6.121, 0.000], [1.894, 6.121, 0.000], [0.000, 0.000, 12.325]], "species": ["Ce", "Ce", "Hf", "Hf", "Hf", "Hf", "P", "P", "P", "P", "P", "P", "P", "P"], "fractional_positions": [[0.107, 0.893, 0.750], [0.893, 0.107, 0.250], [0.365, 0.635, 0.557], [0.365, 0.635, 0.943], [0.635, 0.365, 0.057], [0.635, 0.365, 0.443], [0.000, 0.000, 0.000], [0.000, 0.000, 0.500], [0.264, 0.736, 0.129], [0.264, 0.736, 0.371], [0.439, 0.561, 0.750], [0.561, 0.439, 0.250], [0.736, 0.264, 0.629], [0.736, 0.264, 0.871]], "dos_at_fermi_per_ev_cell": 3.47, "magmom_total_mub_per_cell": 0.0, "formation_energy_mev_per_atom": -1105, "e_tot_ev_per_cell": -110.43}

=====

(4)
{"formula": "CeHf2P", "functional": "PBE-GGA", "state": "relaxed", "cell": [[1.740, 1.004, 8.657], [-1.740, 1.004, 8.657], [0.000, -2.009, 8.657]], "species": ["Ce", "Hf", "Hf", "P"], "fractional_positions": [[0.000, 0.000, 0.000], [0.227, 0.227, 0.227], [0.440, 0.440, 0.440], [0.833, 0.833, 0.833]], "dos_at_fermi_per_ev_cell": 5.83, "magmom_total_mub_per_cell": 0.8, "formation_energy_mev_per_atom": -479, "e_tot_ev_per_cell": -33.17}

=====

(5)
{"formula": "CeHfP", "functional": "PBE-GGA", "state": "relaxed", "cell": [[2.850, -2.898, 0.000], [2.850, 2.898, 0.000], [-2.135, 0.000, 7.687]], "species": ["Ce", "Ce", "Hf", "Hf", "P", "P"], "fractional_positions": [[0.142, 0.142, 0.363], [0.858, 0.858, 0.637], [0.000, 0.500, 0.000], [0.500, 0.000, 0.000], [0.406, 0.406, 0.755], [0.594, 0.594, 0.245]], "dos_at_fermi_per_ev_cell": 11.08, "magmom_total_mub_per_cell": 1.4, "formation_energy_mev_per_atom": -901, "e_tot_ev_per_cell": -48.00}

=====

(6)
{"formula": "Ce5Hf3P8", "functional": "PBE-GGA", "state": "relaxed", "cell": [[3.922, 2.265, 6.421], [-3.922, 2.265, 6.421], [0.000, -4.529, 6.421]], "species": ["Ce", "Ce", "Ce", "Ce", "Ce", "Hf", "Hf", "Hf", "P", "P", "P", "P", "P", "P", "P", "P"], "fractional_positions": [[0.000, 0.000, 0.000], [0.000, 0.500, 0.500], [0.500, 0.000, 0.500], [0.500, 0.500, 0.000], [0.500, 0.500, 0.500], [0.000, 0.000, 0.500], [0.000, 0.500, 0.000], [0.500, 0.000, 0.000], [0.232, 0.750, 0.750], [0.242, 0.242, 0.242], [0.250, 0.250, 0.768], [0.250, 0.768, 0.250], [0.750, 0.232, 0.750], [0.750, 0.750, 0.232], [0.758, 0.758, 0.758], [0.768, 0.250, 0.250]], "dos_at_fermi_per_ev_cell": 17.20, "magmom_total_mub_per_cell": 0.2, "formation_energy_mev_per_atom": -1429, "e_tot_ev_per_cell": -125.67}

=====

Calculated mass density in order - 6.99 9.26 7.22 9.66 9.14 7.20 g cm⁻³